Material: ErTmGe
Method: DFT, PBE
State: relaxed

It has space group P2_1/m (No. 11), with a = 3.989 Å, b = 4.795 Å, c = 7.855 Å, α = 90.00°, β = 104.82° and γ = 90.00°. The inequivalent atoms are Er at (0.067, 0.250, 0.142), Tm at (0.234, 0.750, 0.468) and Ge at (0.407, 0.250, 0.813).

The magnetic moment is 0.000 μB per formula unit. As for the energy of formation from the pure elements: -0.500 eV per atom.

---

Material: ErTmGe
Method: DFT, PBE
State: relaxed

It has space group I4mm (No. 107), with a = 3.430 Å, b = 3.430 Å, c = 12.823 Å, α = 90.00°, β = 90.00° and γ = 90.00°. The inequivalent atoms are Er at (0.000, 0.000, 0.000), Tm at (0.000, 0.000, 0.714) and Ge at (0.000, 0.000, 0.356).

The magnetic moment is 0.000 μB per formula unit. As for the energy of formation from the pure elements: -0.444 eV per atom.

---

Material: ErUGe2
Method: DFT, PBE
State: relaxed

It has space group R-3m (No. 166, hexagonal axes), with a = 4.6053 Å, b = 4.6053 Å, c = 15.0930 Å, α = 90.00°, β = 90.00° and γ = 120.00°. The inequivalent atoms are Er at (0.0000, 0.0000, 0.0000), U at (0.0000, 0.0000, 0.5000) and Ge at (0.0000, 0.0000, 0.2493).

The polymorph energy (0 for the lowest one) comes out at 25.7 meV/atom. The magnetic moment is 2.112 μB per formula unit. As for the energy of formation from the pure elements: -0.333 eV per atom.

---

Material: ErUGe2
Method: DFT, PBE
State: relaxed

It has space group P4/mmm (No. 123), with a = 3.302 Å, b = 3.302 Å, c = 7.936 Å, α = 90.00°, β = 90.00° and γ = 90.00°. The inequivalent atoms are Er at (0.000, 0.000, 0.000), U at (0.000, 0.000, 0.500) and Ge at (0.500, 0.500, 0.249).

The polymorph energy (0 for the lowest one) comes out at 0.0 meV/atom. The magnetic moment is 2.659 μB per formula unit. As for the energy of formation from the pure elements: -0.358 eV per atom.

---

Material: ErV6Ge6
Method: DFT, PBE
State: relaxed

It has space group Immm (No. 71), with a = 5.240 Å, b = 8.454 Å, c = 9.081 Å, α = 90.00°, β = 90.00° and γ = 90.00°. The inequivalent atoms are Er at (0.000, 0.000, 0.000), V at (0.000, 0.246, 0.500), V at (0.250, 0.250, 0.250), Ge at (0.000, 0.000, 0.333), Ge at (0.000, 0.342, 0.000) and Ge at (0.000, 0.500, 0.336).

The magnetic moment is 0.000 μB per formula unit. As for the energy of formation from the pure elements: -0.436 eV per atom.

---

Material: Er2V3Ge4
Method: DFT, PBE
State: relaxed

It has space group P2_1/c (No. 14), with a = 6.921 Å, b = 6.917 Å, c = 6.818 Å, α = 90.00°, β = 109.62° and γ = 90.00°. The inequivalent atoms are Er at (0.187, 0.170, 0.056), V at (0.257, 0.668, 0.247), V at (0.500, 0.000, 0.500), Ge at (0.092, 0.546, 0.862) and Ge at (0.499, 0.135, 0.864).

The magnetic moment is 0.005 μB per formula unit. As for the energy of formation from the pure elements: -0.591 eV per atom.

---

Material: Er2VGe3
Method: DFT, PBE
State: relaxed

It has space group Cmcm (No. 63), with a = 12.274 Å, b = 8.035 Å, c = 5.146 Å, α = 90.00°, β = 90.00° and γ = 90.00°. The inequivalent atoms are Er at (0.144, 0.176, 0.250), V at (0.000, 0.419, 0.750), Ge at (0.000, 0.116, 0.750) and Ge at (0.173, 0.500, 0.000).

The magnetic moment is 0.000 μB per formula unit. As for the energy of formation from the pure elements: -0.503 eV per atom.

---

Material: ErGe2W
Method: DFT, PBE
State: relaxed

It has space group R-3m (No. 166, hexagonal axes), with a = 3.7147 Å, b = 3.7147 Å, c = 20.0266 Å, α = 90.00°, β = 90.00° and γ = 120.00°. The inequivalent atoms are Er at (0.0000, 0.0000, 0.0000), Ge at (0.0000, 0.0000, 0.2401) and W at (0.0000, 0.0000, 0.5000).

The magnetic moment is 0.000 μB per formula unit. As for the energy of formation from the pure elements: -0.116 eV per atom.

---

Material: YErGe
Method: DFT, PBE
State: relaxed

It has space group P-62m (No. 189), with a = 7.9091 Å, b = 7.9091 Å, c = 4.2078 Å, α = 90.00°, β = 90.00° and γ = 120.00°. The inequivalent atoms are Y at (0.0000, 0.5947, 0.0000), Er at (0.0000, 0.2595, 0.5000), Ge at (0.0000, 0.0000, 0.0000) and Ge at (0.3333, 0.6667, 0.5000).

The polymorph energy (0 for the lowest one) comes out at 0.0 meV/atom. The magnetic moment is 1.218 μB per formula unit. As for the energy of formation from the pure elements: -0.649 eV per atom.

---

Material: Y2Er3Ge4
Method: DFT, PBE
State: relaxed

It has space group P2_1/c (No. 14), with a = 7.907 Å, b = 7.745 Å, c = 7.560 Å, α = 90.00°, β = 112.28° and γ = 90.00°. The inequivalent atoms are Y at (0.199, 0.179, 0.060), Er at (0.238, 0.663, 0.229), Er at (0.500, 0.000, 0.500), Ge at (0.088, 0.536, 0.824) and Ge at (0.491, 0.133, 0.868).

The magnetic moment is 0.000 μB per formula unit. As for the energy of formation from the pure elements: -0.882 eV per atom.

---

Question: Look up the energy of formation from the pure elements of the eighth one.
Answer: -0.116 eV per atom